Entry 1:
A plane-wave DFT calculation with PBE was carried out for a geometry-optimized La2Ni structure.

POSCAR file:
```
La2Ni
1.0
4.967 0.000 0.000
0.000 4.967 0.000
0.000 0.000 3.448
La Ni
2 1
Direct
0.000 0.500 0.000
0.500 0.000 0.000
0.000 0.000 0.500
```

As for the crystal system: tetragonal. Its total energy is -15.81 eV per cell.

---

Entry 2:
A plane-wave DFT calculation with PBE was carried out for a geometry-optimized KLuBeF6 structure.

POSCAR file:
```
KLuBeF6
1.0
6.398 0.000 0.000
0.000 5.730 0.000
-2.787 0.000 6.457
K Lu Be F
2 2 2 12
Direct
0.072 0.250 0.203
0.928 0.750 0.797
0.392 0.250 0.824
0.608 0.750 0.176
0.231 0.750 0.461
0.769 0.250 0.539
0.003 0.750 0.263
0.238 0.530 0.595
0.238 0.970 0.595
0.323 0.501 0.032
0.323 0.999 0.032
0.435 0.750 0.397
0.565 0.250 0.603
0.677 0.001 0.968
0.677 0.499 0.968
0.762 0.030 0.405
0.762 0.470 0.405
0.997 0.250 0.737
```

As for the crystal system: monoclinic. The formation energy (no corrections) is -350.1 kJ/mol of atoms.

---

Entry 3:
A plane-wave DFT calculation with PBE was carried out for a geometry-optimized BeGa2Ni9 structure.

POSCAR file:
```
BeGa2Ni9
1.0
3.554 0.000 0.000
0.000 3.554 0.000
0.000 0.000 10.487
Be Ga Ni
1 2 9
Direct
0.000 0.000 0.000
0.000 0.000 0.327
0.000 0.000 0.673
0.000 0.500 0.155
0.000 0.500 0.500
0.000 0.500 0.845
0.500 0.000 0.155
0.500 0.000 0.500
0.500 0.000 0.845
0.500 0.500 0.000
0.500 0.500 0.328
0.500 0.500 0.672
```

As for the crystal system: tetragonal. Its total energy is -64.72 eV per cell.

---

Number 2 is which compound?
KLuBeF6